[1]
This record from Alexandria via LeMat-Bulk describes a relaxed structure of Pm4Ho3Tm. The functional is PBE.

* crystal system: orthorhombic
* spin magnetization: 0.0 μB/cell
* DOS at the Fermi energy: 1.3896 states/eV per atom
* energy of formation: 184 meV per atom
* calculated volume: 265.8 Å³/cell

abc: 5.653 3.636 13.235
angles: 89.98 102.33 90.00
Fractional coordinates of all 8 atoms:
Tm1 0.500 0.000 0.000
Pm1 0.602 0.499 0.204
Pm2 0.277 0.499 0.555
Pm3 0.398 0.501 0.796
Pm4 0.723 0.501 0.445
Ho1 0.000 0.500 0.000
Ho2 0.850 0.000 0.700
Ho3 0.150 0.000 0.300

---

[2]
This record from Alexandria via LeMat-Bulk describes a relaxed structure of Sm3TmAu3. The functional is PBE.

* crystal system: monoclinic
* spin magnetization: 0.0 μB/cell
* DOS at the Fermi energy: 0.7530 states/eV per atom
* energy of formation: -620 meV per atom
* calculated volume: 379.8 Å³/cell

abc: 7.249 7.249 7.277
angles: 91.00 91.00 96.41
Fractional coordinates of all 14 atoms:
Au1 0.935 0.935 0.186
Au2 0.497 0.021 0.277
Au3 0.021 0.497 0.277
Au4 0.979 0.503 0.723
Au5 0.503 0.979 0.723
Au6 0.065 0.065 0.814
Sm1 0.822 0.178 0.500
Sm2 0.349 0.349 0.626
Sm3 0.741 0.259 0.000
Sm4 0.178 0.822 0.500
Sm5 0.259 0.741 0.000
Sm6 0.651 0.651 0.374
Tm1 0.254 0.254 0.122
Tm2 0.746 0.746 0.878

---

[3]
This record from Alexandria via LeMat-Bulk describes a relaxed structure of ErCd12Au6. The functional is PBE.

* crystal system: trigonal
* spin magnetization: 0.0 μB/cell
* DOS at the Fermi energy: 0.2817 states/eV per atom
* energy of formation: -119 meV per atom
* calculated volume: 428.4 Å³/cell

abc: 7.947 7.947 7.947
angles: 106.04 106.04 106.04
Fractional coordinates of all 19 atoms:
Er1 0.000 0.000 0.000
Au1 0.292 0.706 0.292
Au2 0.292 0.292 0.706
Au3 0.294 0.708 0.708
Au4 0.708 0.708 0.294
Au5 0.708 0.294 0.708
Au6 0.706 0.292 0.292
Cd1 0.500 0.886 0.114
Cd2 0.626 0.871 0.626
Cd3 0.886 0.500 0.114
Cd4 0.374 0.374 0.129
Cd5 0.374 0.129 0.374
Cd6 0.500 0.114 0.886
Cd7 0.886 0.114 0.500
Cd8 0.871 0.626 0.626
Cd9 0.114 0.886 0.500
Cd10 0.114 0.500 0.886
Cd11 0.626 0.626 0.871
Cd12 0.129 0.374 0.374

---

[4]
This record from Alexandria via LeMat-Bulk describes a relaxed structure of SrPmPb. The functional is PBE.

* crystal system: trigonal
* spin magnetization: 0.5 μB/cell
* DOS at the Fermi energy: 0.8573 states/eV per atom
* energy of formation: -235 meV per atom
* calculated volume: 110.7 Å³/cell

abc: 4.247 5.485 5.485
angles: 120.00 90.00 90.00
Each line ends with the local moment (μB).
Fractional coordinates of all 3 atoms:
Pm1 0.836 0.000 0.000  0.15
Pb1 0.830 0.667 0.333  -0.01
Sr1 0.334 0.333 0.667  0.03

---

[5]
This record from Alexandria via LeMat-Bulk describes a relaxed structure of CrTcPt2. The functional is PBE.

* crystal system: orthorhombic
* spin magnetization: 2.2 μB/cell
* DOS at the Fermi energy: 0.8603 states/eV per atom
* energy of formation: -152 meV per atom
* calculated volume: 58.5 Å³/cell

abc: 4.784 4.784 2.734
angles: 90.00 90.00 110.91
Each line ends with the local moment (μB).
Fractional coordinates of all 4 atoms:
Tc1 0.500 0.000 0.500  -0.23
Pt1 0.000 0.000 0.000  0.00
Pt2 0.500 0.500 0.000  0.00
Cr1 0.000 0.500 0.500  2.33

---

[6]
This record from Alexandria via LeMat-Bulk describes a relaxed structure of Tm4Co3Ni. The functional is PBE.

* crystal system: orthorhombic
* spin magnetization: 0.0 μB/cell
* DOS at the Fermi energy: 0.7424 states/eV per atom
* energy of formation: -312 meV per atom
* calculated volume: 152.3 Å³/cell

abc: 3.884 3.843 10.202
angles: 90.00 90.00 90.00
Fractional coordinates of all 8 atoms:
Co1 0.500 0.000 0.934
Co2 0.000 0.500 0.561
Co3 0.000 0.000 0.436
Tm1 0.500 0.000 0.644
Tm2 0.500 0.500 0.359
Tm3 0.000 0.500 0.854
Tm4 0.000 0.000 0.144
Ni1 0.500 0.500 0.068

---

[7]
This record from Alexandria via LeMat-Bulk describes a relaxed structure of Tb2Ga8Ru. The functional is PBE.

* crystal system: tetragonal
* spin magnetization: 0.0 μB/cell
* DOS at the Fermi energy: 0.3864 states/eV per atom
* energy of formation: -504 meV per atom
* calculated volume: 208.1 Å³/cell

abc: 4.292 4.292 11.296
angles: 90.00 90.00 90.00
Fractional coordinates of all 11 atoms:
Tb1 0.000 0.000 0.692
Tb2 0.000 0.000 0.308
Ga1 0.500 0.000 0.121
Ga2 0.000 0.500 0.121
Ga3 0.000 0.500 0.500
Ga4 0.500 0.500 0.309
Ga5 0.500 0.000 0.500
Ga6 0.500 0.000 0.879
Ga7 0.500 0.500 0.691
Ga8 0.000 0.500 0.879
Ru1 0.000 0.000 0.000

---

[8]
This record from Alexandria via LeMat-Bulk describes a relaxed structure of SrSi2Ir. The functional is PBE.

* crystal system: trigonal
* spin magnetization: 0.0 μB/cell
* DOS at the Fermi energy: 0.5767 states/eV per atom
* uncorrected formation energy: -647 meV per atom
* calculated volume: 81.1 Å³/cell

abc: 4.102 4.102 6.046
angles: 70.18 70.18 60.07
Fractional coordinates of all 4 atoms:
Si1 0.543 0.543 0.371
Si2 0.957 0.957 0.129
Ir1 0.250 0.250 0.250
Sr1 0.750 0.750 0.750

---

[9]
This record from Alexandria via LeMat-Bulk describes a relaxed structure of Sc5NiAg4. The functional is PBE.

* crystal system: tetragonal
* spin magnetization: 0.0 μB/cell
* DOS at the Fermi energy: 0.7020 states/eV per atom
* energy of formation: -313 meV per atom
* calculated volume: 194.7 Å³/cell

abc: 3.368 3.368 17.166
angles: 90.00 90.00 90.00
Fractional coordinates of all 10 atoms:
Ni1 0.000 0.000 0.000
Sc1 0.500 0.500 0.500
Sc2 0.500 0.500 0.706
Sc3 0.500 0.500 0.294
Sc4 0.500 0.500 0.913
Sc5 0.500 0.500 0.087
Ag1 0.000 0.000 0.191
Ag2 0.000 0.000 0.603
Ag3 0.000 0.000 0.397
Ag4 0.000 0.000 0.809

---

[10]
This record from Alexandria via LeMat-Bulk describes a relaxed structure of NaMgIr2. The functional is PBE.

* crystal system: tetragonal
* spin magnetization: 0.0 μB/cell
* DOS at the Fermi energy: 0.7438 states/eV per atom
* energy of formation: 583 meV per atom
* calculated volume: 145.0 Å³/cell

abc: 7.613 7.613 5.936
angles: 50.12 50.12 90.00
Fractional coordinates of all 8 atoms:
Ir1 0.375 0.358 0.750
Ir2 0.108 0.625 0.250
Ir3 0.642 0.125 0.250
Ir4 0.875 0.892 0.750
Na1 0.250 0.750 0.500
Na2 0.500 0.500 0.000
Mg1 0.000 0.000 0.000
Mg2 0.750 0.250 0.500

---

[11]
This record from Alexandria via LeMat-Bulk describes a relaxed structure of Pm2Er2In3. The functional is PBE.

* crystal system: monoclinic
* spin magnetization: 0.0 μB/cell
* DOS at the Fermi energy: 0.9310 states/eV per atom
* energy of formation: -350 meV per atom
* calculated volume: 202.4 Å³/cell

abc: 3.641 7.742 8.380
angles: 117.34 90.00 103.60
Fractional coordinates of all 7 atoms:
Pm1 0.870 0.740 0.180
Pm2 0.130 0.260 0.820
In1 0.500 0.000 0.000
In2 0.581 0.163 0.450
In3 0.419 0.837 0.550
Er1 0.814 0.628 0.717
Er2 0.186 0.372 0.283

---

[12]
This record from Alexandria via LeMat-Bulk describes a relaxed structure of CaHI2. The functional is PBE.

* crystal system: triclinic
* spin magnetization: 0.0 μB/cell
* DOS at the Fermi energy: 0.0000 states/eV per atom
* final energy: -3.077 eV/atom
* calculated volume: 281.1 Å³/cell

abc: 4.358 7.565 8.775
angles: 79.94 80.71 89.00
Fractional coordinates of all 8 atoms:
I1 0.309 0.117 0.903
I2 0.950 0.384 0.503
I3 0.727 0.928 0.337
I4 0.793 0.618 0.941
Ca1 0.370 0.516 0.718
Ca2 0.878 0.969 0.685
H1 0.994 0.008 0.182
H2 0.373 0.826 0.638